# Pm6Pr2Sc

A relaxed Pm6Pr2Sc crystal (PBE, Alexandria). Values from VASP.

Values from the calculation:
- DOS at the Fermi energy: 14.5 states/eV/f.u.
- Density: 6.49 Mg/m³
- Energy of formation from the pure elements: 0.152 eV per atom
- VASP energy: -43.0 eV/cell
- SG: C2/m

Quantum ESPRESSO input file:
```
&SYSTEM
  ibrav = 0, nat = 9, ntyp = 3
/
ATOMIC_SPECIES
Pm 145.00 Pm.upf
Pr 140.91 Pr.upf
Sc 44.96 Sc.upf
CELL_PARAMETERS angstrom
5.084 -3.628 0.000
5.084 3.628 0.000
-2.522 0.000 8.302
ATOMIC_POSITIONS angstrom
Pm 0.238 0.000 4.859
Pm 2.522 1.895 6.553
Pm 5.124 1.895 1.750
Pm 2.522 -1.895 6.553
Pm 5.124 -1.895 1.750
Pm 7.408 0.000 3.444
Pr 2.708 0.000 0.385
Pr 4.938 0.000 7.918
Sc 3.823 0.000 4.151
```



# YIn3Rh2

A relaxed YIn3Rh2 crystal (PBE, Alexandria). Values from VASP.

Values from the calculation:
- DOS at the Fermi energy: 3.9 states/eV/f.u.
- Density: 8.44 Mg/m³
- Energy of formation from the pure elements: -0.343 eV per atom
- VASP energy: -62.9 eV/cell
- SG: R-3m

Quantum ESPRESSO input file:
```
&SYSTEM
  ibrav = 0, nat = 12, ntyp = 3
/
ATOMIC_SPECIES
Y 88.91 Y.upf
In 114.82 In.upf
Rh 102.91 Rh.upf
CELL_PARAMETERS angstrom
3.252 1.878 6.868
-3.252 1.878 6.868
0.000 -3.755 6.868
ATOMIC_POSITIONS angstrom
Y 0.000 0.000 4.757
Y 0.000 0.000 15.845
In -1.612 -0.930 11.720
In 0.000 -1.861 8.883
In -1.612 0.930 8.883
In 1.612 -0.930 11.720
In 0.000 1.861 11.720
In 1.612 0.930 8.883
Rh 0.000 0.000 0.000
Rh -1.626 -0.939 6.868
Rh -1.626 0.939 13.735
Rh 0.000 1.878 6.868
```



# ThAsPd2

A relaxed ThAsPd2 crystal (PBE, Alexandria). Values from VASP.

Values from the calculation:
- DOS at the Fermi energy: 2.9 states/eV/f.u.
- Density: 10.61 Mg/m³
- Energy of formation from the pure elements: -0.749 eV per atom
- VASP energy: -25.4 eV/cell
- SG: R-3m

Quantum ESPRESSO input file:
```
&SYSTEM
  ibrav = 0, nat = 4, ntyp = 3
/
ATOMIC_SPECIES
Th 232.04 Th.upf
As 74.92 As.upf
Pd 106.42 Pd.upf
CELL_PARAMETERS angstrom
2.184 1.261 4.924
-2.184 1.261 4.924
0.000 -2.522 4.924
ATOMIC_POSITIONS angstrom
Th 0.000 0.000 0.000
As 0.000 0.000 7.386
Pd 0.000 0.000 3.273
Pd 0.000 0.000 11.499
```



# AcGdPb4

A relaxed AcGdPb4 crystal (PBE, Alexandria). Values from VASP.

Values from the calculation:
- DOS at the Fermi energy: 9.6 states/eV/f.u.
- Density: 10.19 Mg/m³
- Energy of formation from the pure elements: -0.221 eV per atom
- VASP energy: -34.3 eV/cell
- SG: F-43m

Quantum ESPRESSO input file:
```
&SYSTEM
  ibrav = 0, nat = 6, ntyp = 3
/
ATOMIC_SPECIES
Ac 227.00 Ac.upf
Gd 157.25 Gd.upf
Pb 207.20 Pb.upf
CELL_PARAMETERS angstrom
0.000 4.624 4.624
4.624 0.000 4.624
4.624 4.624 0.000
ATOMIC_POSITIONS angstrom
Ac 0.000 0.000 0.000
Gd 6.936 6.936 6.936
Pb 3.471 3.471 3.471
Pb 5.776 5.776 3.471
Pb 5.776 3.471 5.776
Pb 3.471 5.776 5.776
```